[1]
The following is a DFT calculation (PBE) of a geometry-optimized PaSnNO structure.

Values from the calculation:
- energy above the most stable polymorph in this dataset (meV per atom) = 0

Cell lengths 3.9612, 5.6787, 7.2312 Å; angles 90.00, 90.00, 90.00 degrees
With the nearest neighbours (Å) after each atom.
Fractional positions:
O1 0.5000 0.7679 0.0221  2 Pa 2.11-2.17
Pa1 0.5000 0.0408 0.2192  2 O 2.11-2.17, 2 N 2.31
O2 0.5000 0.2679 0.9779  2 Pa 2.11-2.17
Sn1 0.0000 0.5261 0.3472  2 N 2.23-2.25
N1 0.0000 0.4191 0.6461  2 Sn 2.23-2.25, 2 Pa 2.31
Sn2 0.0000 0.0261 0.6528  2 N 2.23-2.25
Pa2 0.5000 0.5408 0.7808  2 O 2.11-2.17, 2 N 2.31
N2 0.0000 0.9191 0.3539  2 Sn 2.23-2.25, 2 Pa 2.31

=====

[2]
The following is a DFT calculation (PBE) of a geometry-optimized Sm2Ge2IBr structure.

Cell lengths 4.3263, 4.3263, 11.3531 Å; angles 90.00, 90.00, 120.00 degrees
With the nearest neighbours (Å) after each atom.
Fractional positions:
Ge1 0.6667 0.3333 0.4837  3 Ge 2.51
Sm1 0.3333 0.6667 0.3239  3 Br 3.06, 6 Ge 3.09-3.26
Br1 0.0000 0.0000 0.1678  3 Sm 3.06
I1 0.6667 0.3333 0.8476  3 Sm 3.22
Sm2 0.3333 0.6667 0.6680  6 Ge 3.08-3.26, 3 I 3.22
Ge2 0.0000 0.0000 0.5090  3 Ge 2.51

=====

[3]
The following is a DFT calculation (PBE) of a geometry-optimized CuSiAgW structure.

Values from the calculation:
- energy above the most stable polymorph in this dataset (meV per atom) = 0

Cell lengths 4.3723, 4.3723, 4.3723 Å; angles 60.00, 60.00, 60.00 degrees
With the nearest neighbours (Å) after each atom.
Fractional positions:
Ag1 0.5000 0.5000 0.5000  4 Cu 2.68, 4 W 2.68
Si1 0.0000 0.0000 0.0000  4 W 2.68, 4 Cu 2.68
Cu1 0.7500 0.7500 0.7500  4 Si 2.68, 4 Ag 2.68
W1 0.2500 0.2500 0.2500  4 Ag 2.68, 4 Si 2.68

=====

[4]
The following is a DFT calculation (PBE) of a geometry-optimized Tb4Ni2Hg5 structure.

Values from the calculation:
- ΔE_f (eV/atom) = -0.45

Cell lengths 7.5452, 3.6284, 9.3776 Å; angles 90.00, 93.63, 90.00 degrees
With the nearest neighbours (Å) after each atom.
Fractional positions:
Tb1 0.7773 0.5000 0.0637  4 Ni 2.86-2.87
Ni1 0.9336 0.0000 0.8726  1 Ni 2.53, 2 Tb 2.80
Hg1 0.4436 0.0000 0.1680  1 Ni 2.85, 1 Hg 3.12
Tb2 0.8235 0.5000 0.6573  2 Ni 2.80
Hg2 0.5564 0.0000 0.8320  1 Ni 2.85, 1 Hg 3.12
Hg3 0.8343 0.0000 0.3555  1 Ni 2.85, 1 Hg 2.94, 2 Tb 3.16
Hg4 0.5000 0.0000 0.5000  4 Hg 2.94-3.12
Tb3 0.1765 0.5000 0.3427  2 Ni 2.80
Hg5 0.1657 0.0000 0.6445  1 Ni 2.85, 1 Hg 2.94, 2 Tb 3.16
Tb4 0.2227 0.5000 0.9363  4 Ni 2.86-2.87
Ni2 0.0664 0.0000 0.1274  1 Ni 2.53, 2 Tb 2.80

=====

E_tot list, top to bottom, in eV/atom: -7.5849; -4.7500; -5.7153; -3.2830